(1)
The following is a GGA-PBE calculation of a relaxed structure of Ac3MnTl3S8, from Alexandria via LeMat-Bulk.

The structure in CIF format:
```
data_Ac3MnTl3S8
_chemical_formula_sum 'Ac9 Mn3 Tl9 S24'
_cell_length_a 8.4487
_cell_length_b 8.4487
_cell_length_c 22.6461
_cell_angle_alpha 90.00
_cell_angle_beta 90.00
_cell_angle_gamma 120.00
_symmetry_space_group_name_H-M 'R -3 m'
_symmetry_Int_Tables_number 166
_symmetry_space_group_name_Hall '-R 3 2"'
loop_
_atom_site_label
_atom_site_type_symbol
_atom_site_fract_x
_atom_site_fract_y
_atom_site_fract_z
Ac1 Ac 0.0000 0.5000 0.0000
Mn1 Mn 0.0000 0.0000 0.0000
Tl1 Tl 0.0000 0.5000 0.5000
S1 S 0.0000 0.0000 0.2613
S2 S 0.0550 0.5275 0.7281
```

Output
- energy relative to the elements, uncorrected (eV per atom) = -1.1924
- uncorrected energy (eV per formula unit) = -79.50



(2)
The following is a GGA-PBE calculation of a relaxed structure of Ac2TmMnS6, from Alexandria via LeMat-Bulk.

The structure in CIF format:
```
data_Ac2TmMnS6
_chemical_formula_sum 'Ac4 Tm2 Mn2 S12'
_cell_length_a 6.7158
_cell_length_b 7.4124
_cell_length_c 11.6683
_cell_angle_alpha 90.00
_cell_angle_beta 124.60
_cell_angle_gamma 90.00
_symmetry_space_group_name_H-M 'P 1 21/c 1'
_symmetry_Int_Tables_number 14
_symmetry_space_group_name_Hall '-P 2ybc'
loop_
_atom_site_label
_atom_site_type_symbol
_atom_site_fract_x
_atom_site_fract_y
_atom_site_fract_z
Ac1 Ac 0.2173 0.0929 0.2480
Tm1 Tm 0.5000 0.0000 0.0000
Mn1 Mn 0.0000 0.0000 0.5000
S1 S 0.1286 0.1920 0.9470
S2 S 0.2543 0.6806 0.9533
S3 S 0.3346 0.0195 0.7338
```

Output
- energy relative to the elements, uncorrected (eV per atom) = -1.7467
- uncorrected energy (eV per formula unit) = -64.09



(3)
The following is a GGA-PBE calculation of a relaxed structure of Ac2UMnS6, from Alexandria via LeMat-Bulk.

The structure in CIF format:
```
data_Ac2UMnS6
_chemical_formula_sum 'Ac2 U1 Mn1 S6'
_cell_length_a 6.6730
_cell_length_b 6.6777
_cell_length_c 6.6805
_cell_angle_alpha 63.26
_cell_angle_beta 63.26
_cell_angle_gamma 63.23
_symmetry_space_group_name_H-M 'P -1'
_symmetry_Int_Tables_number 2
_symmetry_space_group_name_Hall '-P 1'
loop_
_atom_site_label
_atom_site_type_symbol
_atom_site_fract_x
_atom_site_fract_y
_atom_site_fract_z
Ac1 Ac 0.2395 0.2383 0.2379
U1 U 0.5000 0.5000 0.5000
Mn1 Mn 0.0000 0.0000 0.0000
S1 S 0.1627 0.7689 0.3055
S2 S 0.2331 0.6950 0.8358
S3 S 0.3040 0.1646 0.7695
```

Output
- energy relative to the elements, uncorrected (eV per atom) = -1.5132
- uncorrected energy (eV per formula unit) = -68.57



Number 1 is which compound? Ac3MnTl3S8